(1)
{
  "formula": "In2NiRu",
  "functional": "PBE",
  "state": "relaxed",
  "lattice": [[6.452, 0.000, 0.000], [0.000, 6.452, 0.000], [0.000, 0.000, 6.452]],
  "species": ["In", "In", "In", "In", "In", "In", "In", "In", "Ni", "Ni", "Ni", "Ni", "Ru", "Ru", "Ru", "Ru"],
  "frac_coords": [[0.000, 0.000, 0.000], [0.000, 0.500, 0.500], [0.250, 0.250, 0.250], [0.250, 0.750, 0.750], [0.500, 0.000, 0.500], [0.500, 0.500, 0.000], [0.750, 0.250, 0.750], [0.750, 0.750, 0.250], [0.000, 0.000, 0.500], [0.000, 0.500, 0.000], [0.500, 0.000, 0.000], [0.500, 0.500, 0.500], [0.250, 0.250, 0.750], [0.250, 0.750, 0.250], [0.750, 0.250, 0.250], [0.750, 0.750, 0.750]],
  "magnetic_moment_mub_per_cell": 0.00,
  "formation_enthalpy_0k_ev_per_atom": 0.328,
  "spacegroup": "F-43m (216)",
  "e_tot_ev_per_atom": -4.81
}

(2)
{
  "formula": "Sm2HoHg",
  "functional": "PBE",
  "state": "relaxed",
  "lattice": [[7.736, 0.000, 0.000], [0.000, 7.736, 0.000], [0.000, 0.000, 7.736]],
  "species": ["Sm", "Sm", "Sm", "Sm", "Sm", "Sm", "Sm", "Sm", "Ho", "Ho", "Ho", "Ho", "Hg", "Hg", "Hg", "Hg"],
  "frac_coords": [[0.250, 0.250, 0.250], [0.250, 0.250, 0.750], [0.250, 0.750, 0.250], [0.250, 0.750, 0.750], [0.750, 0.250, 0.250], [0.750, 0.250, 0.750], [0.750, 0.750, 0.250], [0.750, 0.750, 0.750], [0.000, 0.000, 0.000], [0.000, 0.500, 0.500], [0.500, 0.000, 0.500], [0.500, 0.500, 0.000], [0.000, 0.000, 0.500], [0.000, 0.500, 0.000], [0.500, 0.000, 0.000], [0.500, 0.500, 0.500]],
  "magnetic_moment_mub_per_cell": 0.00,
  "polymorph_energy_mev_per_atom": 158,
  "formation_enthalpy_0k_ev_per_atom": -0.069,
  "spacegroup": "Fm-3m (225)",
  "e_tot_ev_per_atom": -3.65
}

(3)
{
  "formula": "K2Cu2PbCl7",
  "functional": "PBE",
  "state": "relaxed",
  "lattice": [[3.454, -3.454, 0.000], [3.454, 3.454, 0.000], [-3.445, 0.000, 12.507]],
  "species": ["K", "K", "Cu", "Cu", "Pb", "Cl", "Cl", "Cl", "Cl", "Cl", "Cl", "Cl"],
  "frac_coords": [[0.181, 0.181, 0.362], [0.819, 0.819, 0.638], [0.403, 0.403, 0.804], [0.597, 0.597, 0.196], [0.000, 0.000, 0.000], [0.086, 0.586, 0.173], [0.307, 0.307, 0.613], [0.414, 0.914, 0.827], [0.500, 0.500, 0.000], [0.586, 0.086, 0.173], [0.693, 0.693, 0.387], [0.914, 0.414, 0.827]],
  "magnetic_moment_mub_per_cell": 0.01,
  "spacegroup": "C2/m (12)",
  "e_tot_ev_per_atom": -3.35
}

(4)
{
  "formula": "Ca3Sm4Tl4",
  "functional": "PBE",
  "state": "relaxed",
  "lattice": [[-2.327, 4.556, 8.730], [2.327, -4.556, 8.730], [2.327, 4.556, -8.730]],
  "species": ["Ca", "Ca", "Ca", "Sm", "Sm", "Sm", "Sm", "Tl", "Tl", "Tl", "Tl"],
  "frac_coords": [[0.000, 0.000, 0.000], [0.385, 0.885, 0.500], [0.615, 0.115, 0.500], [0.027, 0.331, 0.697], [0.366, 0.669, 0.697], [0.634, 0.331, 0.303], [0.973, 0.669, 0.303], [0.238, 0.238, 0.000], [0.318, 0.500, 0.818], [0.682, 0.500, 0.182], [0.762, 0.762, 0.000]],
  "magnetic_moment_mub_per_cell": 0.92,
  "formation_enthalpy_0k_ev_per_atom": -0.189,
  "spacegroup": "Immm (71)",
  "e_tot_ev_per_atom": -3.31
}

(5)
{
  "formula": "Pm2PSe",
  "functional": "PBE",
  "state": "relaxed",
  "lattice": [[4.119, 0.000, 0.000], [0.000, 7.137, 0.000], [0.000, 0.000, 7.207]],
  "species": ["Pm", "Pm", "Pm", "Pm", "P", "P", "Se", "Se"],
  "frac_coords": [[0.250, 0.003, 0.233], [0.250, 0.497, 0.233], [0.750, 0.503, 0.767], [0.750, 0.997, 0.767], [0.250, 0.750, 0.916], [0.750, 0.250, 0.084], [0.250, 0.250, 0.580], [0.750, 0.750, 0.420]],
  "magnetic_moment_mub_per_cell": 0.00,
  "polymorph_energy_mev_per_atom": 159,
  "spacegroup": "Pmmn (59)",
  "e_tot_ev_per_atom": -6.23
}

(6)
{
  "formula": "Rb4Np3CuTe8",
  "functional": "PBE",
  "state": "relaxed",
  "lattice": [[7.937, -4.470, 0.000], [7.937, 4.470, 0.000], [-5.296, 0.000, 8.460]],
  "species": ["Rb", "Rb", "Rb", "Rb", "Np", "Np", "Np", "Cu", "Te", "Te", "Te", "Te", "Te", "Te", "Te", "Te"],
  "frac_coords": [[0.000, 0.000, 0.000], [0.000, 0.500, 0.000], [0.500, 0.000, 0.000], [0.500, 0.500, 0.000], [0.000, 0.000, 0.500], [0.000, 0.500, 0.500], [0.500, 0.000, 0.500], [0.500, 0.500, 0.500], [0.233, 0.233, 0.702], [0.245, 0.717, 0.684], [0.263, 0.263, 0.302], [0.283, 0.755, 0.316], [0.717, 0.245, 0.684], [0.737, 0.737, 0.698], [0.755, 0.283, 0.316], [0.767, 0.767, 0.298]],
  "magnetic_moment_mub_per_cell": 9.96,
  "spacegroup": "C2/m (12)",
  "e_tot_ev_per_atom": -5.22
}